*1*
# La2ZnI

An optimized crystal structure of La2ZnI (PBE, Alexandria).

a = 8.4344 Å, b = 8.4344 Å, c = 6.9806 Å
α = 52.83°, β = 52.83°, γ = 90.00°
Last column: nearest neighbours and their distance in Å.
Fractional positions:
1 La 0.3750 0.3914 0.7500  2 Zn 3.02, 2 I 3.21
2 La 0.1414 0.6250 0.2500  2 Zn 3.02, 2 I 3.21
3 La 0.8750 0.8586 0.7500  2 Zn 3.02, 2 I 3.21
4 La 0.6086 0.1250 0.2500  2 Zn 3.02, 2 I 3.21
5 Zn 0.5000 0.5000 0.0000  4 La 3.02
6 Zn 0.2500 0.7500 0.5000  4 La 3.02
7 I 0.7500 0.2500 0.5000  4 La 3.21
8 I 0.0000 0.0000 0.0000  4 La 3.21

Results
Density, g cm⁻³: 6.050


*2*
# La2ZnI

An optimized crystal structure of La2ZnI (PBE, Alexandria).

a = 4.3843 Å, b = 4.3843 Å, c = 8.2940 Å
α = 74.67°, β = 74.67°, γ = 60.00°
Last column: nearest neighbours and their distance in Å.
Fractional positions:
1 Zn 0.0000 0.0000 0.0000  6 La 3.09
2 La 0.2585 0.2585 0.2246  3 Zn 3.09, 3 I 3.34
3 La 0.7415 0.7415 0.7754  3 Zn 3.09, 3 I 3.34
4 I 0.5000 0.5000 0.5000  6 La 3.34

Results
Density, g cm⁻³: 5.937


The computed energies, referenced to the most stable structure and given in meV per atom, are *1* 244; *2* 0.